1.
MnSb4Cl | Alexandria | SCAN | single point on PBEsol structure; energy relative to the elements, uncorrected = 0.218 eV per atom
1.0
6.0945 0.0000 0.0000
3.0472 5.2780 0.0000
3.0472 1.7593 4.9761
Sb Mn Cl
4 1 1
direct
0.3783 0.3783 0.3783 Sb
0.3783 0.3783 0.8652 Sb
0.8652 0.3783 0.3783 Sb
0.3783 0.8652 0.3783 Sb
0.0000 0.0000 0.0000 Mn
0.7500 0.7500 0.7500 Cl

---

2.
VCo3H | Alexandria | SCAN | single point on PBEsol structure; E = -73.0 eV for the cell shown
1.0
3.5197 0.0000 0.0000
0.0000 3.5197 0.0000
0.0000 0.0000 3.5197
H Co V
1 3 1
direct
0.5000 0.5000 0.5000 H
0.5000 0.0000 0.5000 Co
0.0000 0.5000 0.5000 Co
0.5000 0.5000 0.0000 Co
0.0000 0.0000 0.0000 V

---

3.
AsWSe2O | Alexandria | SCAN | single point on PBEsol structure; energy relative to the elements, uncorrected = 0.768 eV per atom
1.0
4.7719 0.0000 0.0000
0.0000 4.7719 0.0000
0.0000 0.0000 4.9001
O As Se W
1 1 2 1
direct
0.5000 0.5000 0.5000 O
0.0000 0.0000 0.5000 As
0.0000 0.5000 0.0000 Se
0.5000 0.0000 0.0000 Se
0.0000 0.0000 0.0000 W

---

4.
Sc2CrB6 | Alexandria | SCAN | single point on PBEsol structure; ΔH_f (0 K) = -78.4 kJ/mol of atoms
1.0
3.3249 0.0000 0.0000
0.0000 8.8554 0.0000
0.0000 0.0000 11.1118
Sc Cr B
8 4 24
direct
0.0000 0.8225 0.0858 Sc
0.0000 0.1775 0.9142 Sc
0.0000 0.3225 0.4142 Sc
0.0000 0.6775 0.5858 Sc
0.0000 0.4429 0.1307 Sc
0.0000 0.5571 0.8693 Sc
0.0000 0.9429 0.3693 Sc
0.0000 0.0571 0.6307 Sc
0.0000 0.1408 0.1805 Cr
0.0000 0.8592 0.8195 Cr
0.0000 0.6408 0.3195 Cr
0.0000 0.3592 0.6805 Cr
0.5000 0.0537 0.0653 B
0.5000 0.9463 0.9347 B
0.5000 0.5537 0.4347 B
0.5000 0.4463 0.5653 B
0.5000 0.2518 0.0795 B
0.5000 0.7482 0.9205 B
0.5000 0.7518 0.4205 B
0.5000 0.2482 0.5795 B
0.5000 0.2947 0.2368 B
0.5000 0.7053 0.7632 B
0.5000 0.7947 0.2632 B
0.5000 0.2053 0.7368 B
0.5000 0.1308 0.3173 B
0.5000 0.8692 0.6827 B
0.5000 0.6308 0.1827 B
0.5000 0.3692 0.8173 B
0.5000 0.4805 0.2885 B
0.5000 0.5195 0.7115 B
0.5000 0.9805 0.2115 B
0.5000 0.0195 0.7885 B
0.5000 0.0984 0.4730 B
0.5000 0.9016 0.5270 B
0.5000 0.5984 0.0270 B
0.5000 0.4016 0.9730 B